# K2Co3HgF12

K2Co3HgF12 after structural relaxation (PBE+U, Alexandria).

Values from the calculation:
crystal system: trigonal
E: -77.3 eV/cell
size of the total moment: 7.0 μB per formula unit

Cell lengths 7.197, 7.197, 7.197 Å; angles 62.11, 62.11, 62.11 degrees
Each line ends with the local moment (μB).
Sites, in units of the cell vectors:
K (0.622, 0.622, 0.622)  0.00
K (0.378, 0.378, 0.378)  0.00
Co (0.500, 0.000, 0.000)  2.31
Co (0.000, 0.500, 0.000)  2.31
Co (0.000, 0.000, 0.500)  2.31
Hg (0.000, 0.000, 0.000)  -0.01
F (0.292, 0.292, 0.908)  0.00
F (0.887, 0.887, 0.392)  0.00
F (0.392, 0.887, 0.887)  0.00
F (0.908, 0.292, 0.292)  0.00
F (0.887, 0.392, 0.887)  0.00
F (0.292, 0.908, 0.292)  0.00
F (0.708, 0.708, 0.092)  0.00
F (0.113, 0.113, 0.608)  0.00
F (0.608, 0.113, 0.113)  0.00
F (0.092, 0.708, 0.708)  0.00
F (0.113, 0.608, 0.113)  0.00
F (0.708, 0.092, 0.708)  0.00